# 1
A relaxed structure of MgHg2. Source: Alexandria, functional PBE.

Crystal system: trigonal

a = 4.649 Å, b = 4.647 Å, c = 3.802 Å
α = 90.04°, β = 90.00°, γ = 120.01°
Element x y z (fractional)
Hg  0.667  0.333  0.316
Mg  0.000  0.000  0.000
Hg  0.333  0.667  0.684

---

# 2
A relaxed structure of MgHg2. Source: Alexandria, functional PBE.

Crystal system: monoclinic

a = 5.788 Å, b = 5.788 Å, c = 12.002 Å
α = 140.42°, β = 140.42°, γ = 36.40°
Element x y z (fractional)
Mg  0.779  0.779  0.044
Hg  0.640  0.640  0.313
Mg  0.447  0.447  0.415
Hg  0.036  0.036  0.009
Hg  0.305  0.305  0.640
Hg  0.126  0.126  0.746

---

# 3
A relaxed structure of MgHg. Source: Alexandria, functional PBE.

Crystal system: orthorhombic

a = 6.160 Å, b = 8.612 Å, c = 9.984 Å
α = 90.00°, β = 90.00°, γ = 90.00°
Element x y z (fractional)
Hg  0.750  0.452  0.584
Mg  0.000  0.250  0.383
Hg  0.000  0.750  0.099
Mg  0.500  0.250  0.383
Mg  0.500  0.750  0.617
Mg  0.250  0.455  0.128
Mg  0.750  0.635  0.338
Mg  0.000  0.750  0.617
Mg  0.750  0.545  0.872
Hg  0.250  0.112  0.154
Hg  0.250  0.048  0.584
Hg  0.750  0.888  0.846
Hg  0.500  0.250  0.901
Mg  0.750  0.135  0.662
Hg  0.250  0.548  0.416
Hg  0.750  0.952  0.416
Hg  0.250  0.612  0.846
Hg  0.750  0.388  0.154
Mg  0.250  0.365  0.662
Mg  0.250  0.955  0.872
Mg  0.750  0.045  0.128
Mg  0.250  0.865  0.338
Hg  0.500  0.750  0.099
Hg  0.000  0.250  0.901

---

# 4
A relaxed structure of MgHg3. Source: Alexandria, functional PBE.

Crystal system: orthorhombic

a = 6.495 Å, b = 5.300 Å, c = 5.382 Å
α = 90.00°, β = 90.00°, γ = 90.00°
Element x y z (fractional)
Hg  0.246  0.000  0.165
Hg  0.746  0.500  0.835
Hg  0.500  0.000  0.655
Mg  0.000  0.000  0.668
Hg  0.000  0.500  0.345
Hg  0.254  0.500  0.835
Mg  0.500  0.500  0.332
Hg  0.754  0.000  0.165

---

# 5
A relaxed structure of Mg2Hg. Source: Alexandria, functional PBE.

Crystal system: trigonal

a = 4.780 Å, b = 4.780 Å, c = 3.367 Å
α = 90.00°, β = 90.00°, γ = 120.00°
Element x y z (fractional)
Mg  0.667  0.333  0.734
Mg  0.333  0.667  0.266
Hg  0.000  0.000  0.000

---

# 6
A relaxed structure of MgHg3. Source: Alexandria, functional PBE.

Crystal system: cubic

a = 5.736 Å, b = 5.736 Å, c = 5.736 Å
α = 90.00°, β = 90.00°, γ = 90.00°
Element x y z (fractional)
Hg  0.000  0.500  0.000
Mg  0.000  0.000  0.000
Hg  0.000  0.000  0.500
Hg  0.500  0.000  0.000

---

no.,energy of formation from the pure elements (meV per atom)
1,-82
2,-107
3,-190
4,-70
5,-115
6,107